Entry 1:
# Cs2RbAu2 | the Alexandria database | PBE | relaxed
# Magnetic moment, μB per cell: 0.00
# D(E_F), states/eV/cell: 5.76
# ΔE to the lowest computed polymorph, meV per atom: 0
# DFT total energy, eV per atom: -2.10
# Energy of formation, eV/atom: -0.26
data_Cs2RbAu2
_cell_length_a 9.9320
_cell_length_b 9.9320
_cell_length_c 4.8003
_cell_angle_alpha 90.00
_cell_angle_beta 90.00
_cell_angle_gamma 90.00
_symmetry_space_group_name_H-M 'P 4/m b m'
_symmetry_Int_Tables_number 127
_symmetry_space_group_name_Hall '-P 4 2ab'
loop_
_atom_site_label
_atom_site_type_symbol
_atom_site_fract_x
_atom_site_fract_y
_atom_site_fract_z
_atom_site_occupancy
Cs1 Cs 0.1424 0.3576 0.0000 1
Rb1 Rb 0.0000 0.0000 0.5000 1
Au1 Au 0.1573 0.6573 0.5000 1

Entry 2:
# BaGa2Pd | the Alexandria database | PBE | relaxed
# Magnetic moment, μB per cell: 0.00
# D(E_F), states/eV/cell: 10.46
# DFT total energy, eV per atom: -3.72
# Energy of formation, eV/atom: -0.43
data_BaGa2Pd
_cell_length_a 5.2135
_cell_length_b 5.2135
_cell_length_c 16.9973
_cell_angle_alpha 90.00
_cell_angle_beta 90.00
_cell_angle_gamma 90.00
_symmetry_space_group_name_H-M 'I 41/a m d'
_symmetry_Int_Tables_number 141
loop_
_symmetry_equiv_pos_as_xyz
'x,y,z'
'-x,-y,-z'
'-y+1/4,x+3/4,z+1/4'
'y+1/4,-x+3/4,-z+1/4'
'-x+1/2,-y,z+1/2'
'x+1/2,y,-z+1/2'
'y+1/4,-x+1/4,z+3/4'
'-y+1/4,x+1/4,-z+3/4'
'x,-y,-z'
'-x,y,z'
'-y+1/4,-x+1/4,-z+3/4'
'y+1/4,x+1/4,z+3/4'
'-x+1/2,y,-z+1/2'
'x+1/2,-y,z+1/2'
'y+1/4,x+3/4,-z+1/4'
'-y+1/4,-x+3/4,z+1/4'
'x+1/2,y+1/2,z+1/2'
'-x+1/2,-y+1/2,-z+1/2'
'-y+3/4,x+1/4,z+3/4'
'y+3/4,-x+1/4,-z+3/4'
'-x,-y+1/2,z'
'x,y+1/2,-z'
'y+3/4,-x+3/4,z+1/4'
'-y+3/4,x+3/4,-z+1/4'
'x+1/2,-y+1/2,-z+1/2'
'-x+1/2,y+1/2,z+1/2'
'-y+3/4,-x+3/4,-z+1/4'
'y+3/4,x+3/4,z+1/4'
'-x,y+1/2,-z'
'x,-y+1/2,z'
'y+3/4,x+1/4,-z+3/4'
'-y+3/4,-x+1/4,z+3/4'
loop_
_atom_site_label
_atom_site_type_symbol
_atom_site_fract_x
_atom_site_fract_y
_atom_site_fract_z
_atom_site_occupancy
Ba1 Ba 0.0000 0.2500 0.3750 1
Ga1 Ga 0.0000 0.0000 0.0000 1
Pd1 Pd 0.0000 0.2500 0.8750 1

Entry 3:
# Tl3GeS | the Alexandria database | PBE | relaxed
# Magnetic moment, μB per cell: 0.00
# D(E_F), states/eV/cell: 2.39
# ΔE_f (raw), meV per atom: 317
# ΔE to the lowest computed polymorph, meV per atom: 0
# DFT total energy, eV per atom: -2.85
data_Tl3GeS
_cell_length_a 5.4821
_cell_length_b 5.4821
_cell_length_c 5.4821
_cell_angle_alpha 90.00
_cell_angle_beta 90.00
_cell_angle_gamma 90.00
_symmetry_space_group_name_H-M 'P m -3 m'
_symmetry_Int_Tables_number 221
_symmetry_space_group_name_Hall '-P 4 2 3'
loop_
_atom_site_label
_atom_site_type_symbol
_atom_site_fract_x
_atom_site_fract_y
_atom_site_fract_z
_atom_site_occupancy
Tl1 Tl 0.0000 0.0000 0.5000 1
Ge1 Ge 0.0000 0.0000 0.0000 1
S1 S 0.5000 0.5000 0.5000 1

Entry 4:
# CaSmLuIn | the Alexandria database | PBE | relaxed
# Magnetic moment, μB per cell: 0.00
# D(E_F), states/eV/cell: 14.30
# DFT total energy, eV per atom: -3.62
# Energy of formation, eV/atom: -0.12
data_CaSmLuIn
_cell_length_a 7.7698
_cell_length_b 7.7698
_cell_length_c 7.7698
_cell_angle_alpha 90.00
_cell_angle_beta 90.00
_cell_angle_gamma 90.00
_symmetry_space_group_name_H-M 'F -4 3 m'
_symmetry_Int_Tables_number 216
_symmetry_space_group_name_Hall 'F -4 2 3'
loop_
_atom_site_label
_atom_site_type_symbol
_atom_site_fract_x
_atom_site_fract_y
_atom_site_fract_z
_atom_site_occupancy
Ca1 Ca 0.0000 0.0000 0.0000 1
Sm1 Sm 0.2500 0.2500 0.2500 1
Lu1 Lu 0.2500 0.2500 0.7500 1
In1 In 0.0000 0.0000 0.5000 1

Entry 5:
# SmTa4Ge2 | the Alexandria database | PBE | relaxed
# Magnetic moment, μB per cell: 0.00
# D(E_F), states/eV/cell: 12.36
# DFT total energy, eV per atom: -9.09
# Energy of formation, eV/atom: -0.32
data_SmTa4Ge2
_cell_length_a 3.7208
_cell_length_b 16.9754
_cell_length_c 4.3424
_cell_angle_alpha 90.00
_cell_angle_beta 90.00
_cell_angle_gamma 90.00
_symmetry_space_group_name_H-M 'C m m m'
_symmetry_Int_Tables_number 65
_symmetry_space_group_name_Hall '-C 2 2'
loop_
_atom_site_label
_atom_site_type_symbol
_atom_site_fract_x
_atom_site_fract_y
_atom_site_fract_z
_atom_site_occupancy
Sm1 Sm 0.0000 0.0000 0.0000 1
Ta1 Ta 0.0000 0.1841 0.5000 1
Ta2 Ta 0.0000 0.3204 0.0000 1
Ge1 Ge 0.0000 0.4263 0.5000 1

Entry 6:
# LaTb5Pr2Nd | the Alexandria database | PBE | relaxed
# Magnetic moment, μB per cell: 0.00
# D(E_F), states/eV/cell: 40.76
# DFT total energy, eV per atom: -4.47
# Energy of formation, eV/atom: 0.24
data_LaTb5Pr2Nd
_cell_length_a 8.7938
_cell_length_b 8.7938
_cell_length_c 15.8717
_cell_angle_alpha 90.00
_cell_angle_beta 90.00
_cell_angle_gamma 90.00
_symmetry_space_group_name_H-M 'I 4/m c m'
_symmetry_Int_Tables_number 140
_symmetry_space_group_name_Hall '-I 4 2c'
loop_
_atom_site_label
_atom_site_type_symbol
_atom_site_fract_x
_atom_site_fract_y
_atom_site_fract_z
_atom_site_occupancy
La1 La 0.0000 0.0000 0.2500 1
Tb1 Tb 0.0000 0.0000 0.0000 1
Tb2 Tb 0.2082 0.2918 0.1371 1
Pr1 Pr 0.1187 0.3813 0.5000 1
Nd1 Nd 0.0000 0.5000 0.2500 1

Entry 7:
# Tm5Os2Au | the Alexandria database | PBE | relaxed
# Magnetic moment, μB per cell: 0.00
# D(E_F), states/eV/cell: 22.09
# DFT total energy, eV per atom: -6.49
# Energy of formation, eV/atom: -0.48
data_Tm5Os2Au
_cell_length_a 7.6107
_cell_length_b 7.6107
_cell_length_c 12.9912
_cell_angle_alpha 90.00
_cell_angle_beta 90.00
_cell_angle_gamma 90.00
_symmetry_space_group_name_H-M 'I 4/m c m'
_symmetry_Int_Tables_number 140
_symmetry_space_group_name_Hall '-I 4 2c'
loop_
_atom_site_label
_atom_site_type_symbol
_atom_site_fract_x
_atom_site_fract_y
_atom_site_fract_z
_atom_site_occupancy
Tm1 Tm 0.0000 0.0000 0.0000 1
Tm2 Tm 0.1594 0.3406 0.1356 1
Os1 Os 0.1403 0.3597 0.5000 1
Au1 Au 0.0000 0.0000 0.2500 1

Entry 8:
# Zn2TeRh | the Alexandria database | PBE | relaxed
# Magnetic moment, μB per cell: 0.00
# D(E_F), states/eV/cell: 7.22
# ΔE_f (raw), meV per atom: 20
# DFT total energy, eV per atom: -3.24
data_Zn2TeRh
_cell_length_a 4.0879
_cell_length_b 4.0879
_cell_length_c 8.2639
_cell_angle_alpha 90.00
_cell_angle_beta 90.00
_cell_angle_gamma 90.00
_symmetry_space_group_name_H-M 'I -4 m 2'
_symmetry_Int_Tables_number 119
_symmetry_space_group_name_Hall 'I -4 -2'
loop_
_atom_site_label
_atom_site_type_symbol
_atom_site_fract_x
_atom_site_fract_y
_atom_site_fract_z
_atom_site_occupancy
Zn1 Zn 0.0000 0.0000 0.0000 1
Zn2 Zn 0.0000 0.5000 0.2500 1
Te1 Te 0.0000 0.0000 0.5000 1
Rh1 Rh 0.0000 0.5000 0.7500 1